w | Computed, not measured: crystalline ErTm3Rh2 at its relaxed geometry at the GGA-PBE level of DFT.

DOS(E_F) = 0.7858 states/eV per atom
theoretical density = 9438 kg/m3

Cell: 6.612 6.979 8.254 Å, 115.01 113.61 90.00°
Sites, in units of the cell vectors:
Er1 0.000 0.500 0.000
Er2 0.000 0.000 0.000
Tm1 0.500 0.250 0.000
Tm2 0.500 0.750 0.000
Tm3 0.768 0.018 0.537
Tm4 0.232 0.482 0.463
Tm5 0.232 0.982 0.463
Tm6 0.768 0.518 0.537
Rh1 0.572 0.361 0.723
Rh2 0.849 0.139 0.277
Rh3 0.151 0.861 0.723
Rh4 0.428 0.639 0.277

x | Computed, not measured: crystalline ErTm3Rh2 at its relaxed geometry at the GGA-PBE level of DFT.

DOS(E_F) = 0.9349 states/eV per atom
theoretical density = 10368 kg/m3

Cell: 4.543 7.148 8.679 Å, 90.00 90.00 90.00°
Sites, in units of the cell vectors:
Er1 0.500 0.512 0.586
Er2 0.500 0.012 0.414
Tm1 0.000 0.488 0.914
Tm2 0.000 0.988 0.086
Tm3 0.500 0.642 0.170
Tm4 0.500 0.142 0.830
Tm5 0.000 0.358 0.329
Tm6 0.000 0.858 0.671
Rh1 0.500 0.743 0.843
Rh2 0.500 0.243 0.157
Rh3 0.000 0.257 0.658
Rh4 0.000 0.757 0.342

Which is most stable? The ranking, best first, is x, w.

w | Computed, not measured: crystalline ErTmZnRh at its relaxed geometry at the GGA-PBE level of DFT.

DOS(E_F) = 0.7119 states/eV per atom
theoretical density = 10064 kg/m3

Cell: 3.450 3.450 6.994 Å, 90.00 90.00 90.00°
Sites, in units of the cell vectors:
Er1 0.000 0.000 0.873
Tm1 0.000 0.000 0.341
Zn1 0.500 0.500 0.605
Rh1 0.500 0.500 0.109

x | Computed, not measured: crystalline ErTmZnRh at its relaxed geometry at the GGA-PBE level of DFT.

DOS(E_F) = 0.5732 states/eV per atom
theoretical density = 10216 kg/m3

Cell: 4.877 4.877 4.877 Å, 60.00 60.00 60.00°
Sites, in units of the cell vectors:
Zn1 0.000 0.000 0.000
Tm1 0.250 0.250 0.250
Rh1 0.500 0.500 0.500
Er1 0.750 0.750 0.750

Which is most stable? The ranking, best first, is w, x.